DFT (PBE-GGA) results for crystalline Tb3Pr2Ho6Sc at its relaxed geometry.

As for the space group: C2/m.

a b c (Å): 6.1315 6.1315 11.7546
angles (deg): 94.97 94.97 119.99
Atoms (fractional coordinates):
Tb: 0.0000 0.0000 0.0000
Tb: 0.3336 0.6664 0.0000
Tb: 0.6664 0.3336 0.0000
Pr: 0.1662 0.8338 0.5000
Pr: 0.8338 0.1662 0.5000
Ho: 0.0867 0.4167 0.2494
Ho: 0.2532 0.2532 0.7512
Ho: 0.4167 0.0867 0.2494
Ho: 0.5833 0.9133 0.7506
Ho: 0.7468 0.7468 0.2488
Ho: 0.9133 0.5833 0.7506
Sc: 0.5000 0.5000 0.5000

***

DFT (PBE-GGA) results for crystalline Be2CuRh at its relaxed geometry.

As for the space group: P4mm.

a b c (Å): 2.8346 2.8346 5.2813
angles (deg): 90.00 90.00 90.00
Atoms (fractional coordinates):
Be: 0.0000 0.0000 0.0000
Be: 0.5000 0.5000 0.2315
Cu: 0.0000 0.0000 0.4553
Rh: 0.5000 0.5000 0.7842

***

DFT (PBE-GGA) results for crystalline Sc2Ga9Rh at its relaxed geometry.

As for the space group: P4/mmm.

a b c (Å): 4.1105 4.1105 11.9236
angles (deg): 90.00 90.00 90.00
Atoms (fractional coordinates):
Sc: 0.0000 0.0000 0.1756
Sc: 0.0000 0.0000 0.8244
Ga: 0.0000 0.5000 0.0000
Ga: 0.0000 0.5000 0.3487
Ga: 0.0000 0.5000 0.6513
Ga: 0.5000 0.0000 0.0000
Ga: 0.5000 0.0000 0.3487
Ga: 0.5000 0.0000 0.6513
Ga: 0.5000 0.5000 0.1707
Ga: 0.5000 0.5000 0.5000
Ga: 0.5000 0.5000 0.8293
Rh: 0.0000 0.0000 0.5000

***

Energy of formation from the pure elements values (in eV per formula unit) by entry order: 0.3, -0.9, -4.7.
Mass density values (in g/cm3) by entry order: 7.90, 7.22, 6.76.